VASP calculation (PBE with a Hubbard U) on a relaxed structure of FeMoF3.

Cell lengths 4.211, 4.211, 4.211 Å; angles 90.00, 90.00, 90.00 degrees
Positions (direct):
1 Fe 0.000 0.000 0.000
2 Mo 0.500 0.500 0.500
3 F 0.000 0.500 0.500
4 F 0.500 0.000 0.500
5 F 0.500 0.500 0.000

Calculated values
Energy above the most stable polymorph in this dataset: 331 meV per atom